VASP calculation (GGA-PBE) on crystalline Y8Ho4Th3 at its relaxed geometry.

Structure (POSCAR):
```
Y8Ho4Th3
1.0
-2.870 -4.480 -4.006
2.082 -3.711 8.311
-6.382 5.109 4.512
Y Ho Th
8 4 3
Cartesian
-2.831 -2.213 1.169
-0.915 -0.589 6.966
-1.179 0.171 3.022
-1.449 -3.768 5.368
-5.722 0.685 3.449
-5.992 -3.254 5.795
-3.386 1.986 5.857
-4.339 -0.870 7.648
-1.435 -2.240 -2.003
1.041 -1.856 4.156
0.000 0.000 0.000
-3.191 2.554 2.256
-0.394 -4.096 2.153
-4.626 0.314 0.253
-3.585 -1.542 4.409
```

Results
electronic total energy = -5.706 eV per atom
calculated volume = 502.0 Å³/f.u.
calculated formation energy = 446.4 meV per atom
space group = C2/m